A plane-wave DFT calculation with PBE was carried out for a relaxed Au4Se3 crystal.

Lattice parameters (Å, degrees): 5.4629 5.4629 5.5438 90.00 90.00 120.00
Fractional coordinates of all 7 atoms:
Au 0.0000 0.0000 0.2414
Au 0.0000 0.0000 0.7586
Au 0.3333 0.6667 0.0000
Au 0.6667 0.3333 0.0000
Se 0.0000 0.5000 0.5000
Se 0.5000 0.0000 0.5000
Se 0.5000 0.5000 0.5000

Summary:
Formation energy (no corrections): 0.60 eV per atom
Spin magnetization: 0.00 μB/f.u.
Raw total energy: -0.1016 Ha/atom



A plane-wave DFT calculation with PBE was carried out for a relaxed Mg3Hg2Bi2 crystal.

Lattice parameters (Å, degrees): 7.4466 7.4466 5.9561 104.10 104.10 36.77
Fractional coordinates of all 7 atoms:
Mg 0.0000 0.0000 0.0000
Mg 0.2177 0.2177 0.3010
Mg 0.7823 0.7823 0.6990
Hg 0.1648 0.1648 0.7912
Hg 0.8352 0.8352 0.2088
Bi 0.4174 0.4174 0.6539
Bi 0.5826 0.5826 0.3461

Summary:
ΔE_f: -113 meV per atom
Spin magnetization: 0.00 μB/f.u.
Raw total energy: -0.0732 Ha/atom



A plane-wave DFT calculation with PBE was carried out for a relaxed PrDy6Ga3 crystal.

Lattice parameters (Å, degrees): 8.3200 8.3200 8.3159 90.00 90.00 99.61
Fractional coordinates of all 20 atoms:
Pr 0.1729 0.8271 0.5000
Pr 0.8271 0.1729 0.0000
Dy 0.0881 0.4418 0.7214
Dy 0.1007 0.2341 0.3627
Dy 0.2341 0.1007 0.8627
Dy 0.2765 0.7235 0.0123
Dy 0.4418 0.0881 0.2214
Dy 0.4673 0.5327 0.3372
Dy 0.5327 0.4673 0.8372
Dy 0.5582 0.9119 0.7214
Dy 0.7235 0.2765 0.5123
Dy 0.7659 0.8993 0.3627
Dy 0.8993 0.7659 0.8627
Dy 0.9119 0.5582 0.2214
Ga 0.0698 0.9302 0.1635
Ga 0.2185 0.3798 0.0609
Ga 0.3798 0.2185 0.5609
Ga 0.6202 0.7815 0.0609
Ga 0.7815 0.6202 0.5609
Ga 0.9302 0.0698 0.6635

Summary:
ΔE_f: -307 meV per atom
Spin magnetization: 0.00 μB/f.u.
Raw total energy: -0.1637 Ha/atom



A plane-wave DFT calculation with PBE was carried out for a relaxed DyEr2Tm5 crystal.

Lattice parameters (Å, degrees): 8.5090 8.5090 11.2403 90.27 90.27 37.92
Fractional coordinates of all 16 atoms:
Dy 0.2272 0.2272 0.2510
Dy 0.7728 0.7728 0.7490
Er 0.2126 0.2126 0.5794
Er 0.2140 0.2140 0.9192
Er 0.7860 0.7860 0.0808
Er 0.7874 0.7874 0.4206
Tm 0.0427 0.0427 0.3860
Tm 0.0483 0.0483 0.1094
Tm 0.3949 0.3949 0.7501
Tm 0.4119 0.4119 0.4237
Tm 0.4132 0.4132 0.0810
Tm 0.5868 0.5868 0.9190
Tm 0.5881 0.5881 0.5763
Tm 0.6051 0.6051 0.2499
Tm 0.9517 0.9517 0.8906
Tm 0.9573 0.9573 0.6140

Summary:
ΔE_f: 146 meV per atom
Spin magnetization: 0.00 μB/f.u.
Raw total energy: -0.1604 Ha/atom



A plane-wave DFT calculation with PBE was carried out for a relaxed SmUSe2 crystal.

Lattice parameters (Å, degrees): 7.3225 7.3225 7.3225 32.15 32.15 32.15
Fractional coordinates of all 4 atoms:
Sm 0.0000 0.0000 0.0000
U 0.5000 0.5000 0.5000
Se 0.2485 0.2485 0.2485
Se 0.7515 0.7515 0.7515

Summary:
Formation energy (no corrections): -1.39 eV per atom
Spin magnetization: 2.90 μB/f.u.
Raw total energy: -0.2623 Ha/atom



A plane-wave DFT calculation with PBE was carried out for a relaxed SrIn2Fe crystal.

Lattice parameters (Å, degrees): 7.8012 7.8012 7.8012 153.90 149.62 40.48
Fractional coordinates of all 4 atoms:
Sr 0.0000 0.0000 0.0000
In 0.3508 0.3508 0.0000
In 0.6919 0.1919 0.5000
Fe 0.2009 0.7009 0.5000

Summary:
ΔE_f: 121 meV per atom
Spin magnetization: 2.19 μB/f.u.
Raw total energy: -0.1391 Ha/atom



A plane-wave DFT calculation with PBE was carried out for a relaxed Tm5NiHg4 crystal.

Lattice parameters (Å, degrees): 3.5587 3.5587 18.6155 90.00 90.00 90.00
Fractional coordinates of all 10 atoms:
Tm 0.0000 0.0000 0.0000
Tm 0.0000 0.0000 0.2067
Tm 0.0000 0.0000 0.4155
Tm 0.0000 0.0000 0.5845
Tm 0.0000 0.0000 0.7933
Ni 0.5000 0.5000 0.5000
Hg 0.5000 0.5000 0.1028
Hg 0.5000 0.5000 0.3085
Hg 0.5000 0.5000 0.6915
Hg 0.5000 0.5000 0.8972

Summary:
ΔE_f: -459 meV per atom
Spin magnetization: 0.00 μB/f.u.
Raw total energy: -0.1247 Ha/atom



A plane-wave DFT calculation with PBE was carried out for a relaxed HgTeIr2 crystal.

Lattice parameters (Å, degrees): 8.5103 8.5103 8.5103 21.86 21.86 21.86
Fractional coordinates of all 4 atoms:
Hg 0.0000 0.0000 0.0000
Te 0.5000 0.5000 0.5000
Ir 0.2441 0.2441 0.2441
Ir 0.7559 0.7559 0.7559

Summary:
Formation energy (no corrections): 0.51 eV per atom
Spin magnetization: 0.00 μB/f.u.
Raw total energy: -0.1758 Ha/atom



A plane-wave DFT calculation with PBE was carried out for a relaxed ScCrAu2 crystal.

Lattice parameters (Å, degrees): 5.1403 5.1403 5.1403 133.39 133.03 68.33
Fractional coordinates of all 4 atoms:
Sc 0.0000 0.0000 0.0000
Cr 0.7498 0.2498 0.5000
Au 0.2502 0.7502 0.5000
Au 0.5006 0.5006 0.0000

Summary:
ΔE_f: -340 meV per atom
Spin magnetization: 3.90 μB/f.u.
Raw total energy: -0.2193 Ha/atom



A plane-wave DFT calculation with PBE was carried out for a relaxed Ba3RuC2N6 crystal.

Lattice parameters (Å, degrees): 5.5442 5.5442 6.6685 90.00 90.00 120.00
Fractional coordinates of all 12 atoms:
Ba 0.0000 0.0000 0.0000
Ba 0.3333 0.6667 0.7199
Ba 0.6667 0.3333 0.2801
Ru 0.0000 0.0000 0.5000
C 0.3333 0.6667 0.3139
C 0.6667 0.3333 0.6861
N 0.1891 0.3783 0.3080
N 0.1891 0.8109 0.3080
N 0.3783 0.1891 0.6920
N 0.6217 0.8109 0.3080
N 0.8109 0.1891 0.6920
N 0.8109 0.6217 0.6920

Summary:
Formation energy (no corrections): -0.14 eV per atom
Spin magnetization: 0.00 μB/f.u.
Raw total energy: -0.2607 Ha/atom



A plane-wave DFT calculation with PBE was carried out for a relaxed ZrNiH2 crystal.

Lattice parameters (Å, degrees): 4.1677 4.1677 4.1677 51.98 51.98 51.98
Fractional coordinates of all 4 atoms:
Zr 0.0000 0.0000 0.0000
Ni 0.5000 0.5000 0.5000
H 0.3535 0.3535 0.3535
H 0.6465 0.6465 0.6465

Summary:
Spin magnetization: 0.00 μB/f.u.
Raw total energy: -0.2016 Ha/atom



A plane-wave DFT calculation with PBE was carried out for a relaxed UF4 crystal.

Lattice parameters (Å, degrees): 4.3857 4.3857 4.3857 90.00 90.00 90.00
Fractional coordinates of all 5 atoms:
U 0.0000 0.0000 0.0000
F 0.0000 0.0000 0.5000
F 0.0000 0.5000 0.0000
F 0.5000 0.0000 0.0000
F 0.5000 0.5000 0.5000

Summary:
Formation energy (no corrections): -3.14 eV per atom
Spin magnetization: 1.92 μB/f.u.
Raw total energy: -0.2535 Ha/atom